First-principles (PBE) data for a geometry-optimized HfWSe2Br structure, as listed in Alexandria via LeMat-Bulk.

Computed properties:
* DOS(E_F): 3.6 states/eV/cell
* VASP energy: -5.696 eV/atom
* formation energy (no corrections): 3.1 eV/f.u.
* crystal system: tetragonal

Cell lengths 5.197, 5.197, 5.129 Å; angles 90.00, 90.00, 90.00 degrees
Each line ends with the local moment (μB).
Fractional positions:
W: 0.500 0.500 0.500  3.48
Se: 0.500 0.000 0.000  -0.08
Se: 0.000 0.500 0.000  -0.08
Br: 0.000 0.000 0.500  0.05
Hf: 0.000 0.000 0.000  0.13